Computed, not measured: KLi2Hg2 after structural relaxation at the GGA-PBE level of DFT.

## Properties
Distance to the lowest polymorph of the same formula = 35 meV per atom
Uncorrected energy = -1.30 eV per atom
Energy relative to the elements = -0.192 eV/atom

Cell lengths 8.786, 8.786, 3.218 Å; angles 90.00, 90.00, 90.00 degrees
Element x y z (fractional)
K 0.000 0.000 0.000
K 0.500 0.500 0.000
Li 0.148 0.352 0.500
Li 0.352 0.852 0.500
Li 0.648 0.148 0.500
Li 0.852 0.648 0.500
Hg 0.137 0.637 0.000
Hg 0.363 0.137 0.000
Hg 0.637 0.863 0.000
Hg 0.863 0.363 0.000